a.
DFT (PBE) results for a geometry-optimized IrC2Cl structure.

Properties
Symmetry: Fm-3m (225)
ρ in g/cm3: 9.45

Lattice parameters (Å, degrees): 3.970 3.970 3.970 60.00 60.00 60.00
Fractional coordinates of all 4 atoms:
Ir (0.000, 0.000, 0.000)
C (0.250, 0.250, 0.250)
C (0.750, 0.750, 0.750)
Cl (0.500, 0.500, 0.500)

---

b.
DFT (PBE) results for a geometry-optimized IrC2Cl structure.

Properties
Symmetry: I-42d (122)
ρ in g/cm3: 6.18

Lattice parameters (Å, degrees): 5.993 5.993 5.993 126.23 126.23 79.50
Fractional coordinates of all 8 atoms:
Ir (0.000, 0.000, 0.000)
Ir (0.750, 0.250, 0.500)
C (0.375, 0.248, 0.373)
C (0.752, 0.125, 0.127)
C (0.875, 0.002, 0.627)
C (0.998, 0.625, 0.873)
Cl (0.250, 0.750, 0.500)
Cl (0.500, 0.500, 0.000)

---

Energies relative to the minimum, meV/atom: a 1455; b 0

---

a.
DFT (PBE) results for a geometry-optimized PIrCCl2 structure.

Properties
Symmetry: P4/mmm (123)
ρ in g/cm3: 4.67

Lattice parameters (Å, degrees): 4.942 4.942 4.458 90.00 90.00 90.00
Fractional coordinates of all 5 atoms:
P (0.000, 0.000, 0.000)
Ir (0.000, 0.000, 0.500)
C (0.500, 0.500, 0.000)
Cl (0.000, 0.500, 0.500)
Cl (0.500, 0.000, 0.500)

---

b.
DFT (PBE) results for a geometry-optimized PIrCCl2 structure.

Properties
Symmetry: P4/mmm (123)
ρ in g/cm3: 7.09

Lattice parameters (Å, degrees): 4.159 4.159 4.142 90.00 90.00 90.00
Fractional coordinates of all 5 atoms:
P (0.000, 0.000, 0.000)
Ir (0.500, 0.500, 0.000)
C (0.000, 0.000, 0.500)
Cl (0.000, 0.500, 0.500)
Cl (0.500, 0.000, 0.500)

---

Energies relative to the minimum, meV/atom: a 0; b 119

---

a.
DFT (PBE) results for a geometry-optimized IrCS2Cl structure.

Properties
Symmetry: P4/mmm (123)
ρ in g/cm3: 4.88

Lattice parameters (Å, degrees): 4.581 4.581 4.925 90.00 90.00 90.00
Fractional coordinates of all 5 atoms:
Ir (0.000, 0.000, 0.000)
C (0.500, 0.500, 0.500)
S (0.000, 0.500, 0.000)
S (0.500, 0.000, 0.000)
Cl (0.000, 0.000, 0.500)

---

b.
DFT (PBE) results for a geometry-optimized IrCS2Cl structure.

Properties
Symmetry: P4/mmm (123)
ρ in g/cm3: 7.38

Lattice parameters (Å, degrees): 4.153 4.153 3.963 90.00 90.00 90.00
Fractional coordinates of all 5 atoms:
Ir (0.000, 0.000, 0.000)
C (0.500, 0.500, 0.500)
S (0.000, 0.500, 0.500)
S (0.500, 0.000, 0.500)
Cl (0.500, 0.500, 0.000)

---

Energies relative to the minimum, meV/atom: a 62; b 0

---

a.
DFT (PBE) results for a geometry-optimized SrIrCCl2 structure.

Properties
Symmetry: P4/mmm (123)
ρ in g/cm3: 2.97

Lattice parameters (Å, degrees): 5.632 5.632 6.398 90.00 90.00 90.00
Fractional coordinates of all 5 atoms:
Sr (0.000, 0.000, 0.000)
Ir (0.000, 0.000, 0.500)
C (0.500, 0.500, 0.500)
Cl (0.000, 0.500, 0.000)
Cl (0.500, 0.000, 0.000)

---

b.
DFT (PBE) results for a geometry-optimized SrIrCCl2 structure.

Properties
Symmetry: P4/mmm (123)
ρ in g/cm3: 5.86

Lattice parameters (Å, degrees): 5.137 5.137 3.898 90.00 90.00 90.00
Fractional coordinates of all 5 atoms:
Sr (0.000, 0.000, 0.000)
Ir (0.500, 0.500, 0.500)
C (0.500, 0.500, 0.000)
Cl (0.000, 0.500, 0.500)
Cl (0.500, 0.000, 0.500)

---

Energies relative to the minimum, meV/atom: a 1910; b 0

---

a.
DFT (PBE) results for a geometry-optimized K2CCl structure.

Properties
Symmetry: Fm-3m (225)
ρ in g/cm3: 1.95

Lattice parameters (Å, degrees): 5.330 5.330 5.330 60.00 60.00 60.00
Fractional coordinates of all 4 atoms:
K (0.250, 0.250, 0.250)
K (0.750, 0.750, 0.750)
C (0.000, 0.000, 0.000)
Cl (0.500, 0.500, 0.500)

---

b.
DFT (PBE) results for a geometry-optimized K2CCl structure.

Properties
Symmetry: I-42d (122)
ρ in g/cm3: 1.45

Lattice parameters (Å, degrees): 7.274 7.274 7.274 115.19 115.19 98.55
Fractional coordinates of all 8 atoms:
K (0.111, 0.125, 0.486)
K (0.375, 0.889, 0.014)
K (0.639, 0.625, 0.514)
K (0.875, 0.361, 0.986)
C (0.000, 0.000, 0.000)
C (0.750, 0.250, 0.500)
Cl (0.250, 0.750, 0.500)
Cl (0.500, 0.500, 0.000)

---

Energies relative to the minimum, meV/atom: a 0; b 18

---

a.
DFT (PBE) results for a geometry-optimized KCCl3 structure.

Properties
Symmetry: Pm-3m (221)
ρ in g/cm3: 1.34

Lattice parameters (Å, degrees): 5.802 5.802 5.802 90.00 90.00 90.00
Fractional coordinates of all 5 atoms:
K (0.000, 0.000, 0.000)
C (0.500, 0.500, 0.500)
Cl (0.000, 0.000, 0.500)
Cl (0.000, 0.500, 0.000)
Cl (0.500, 0.000, 0.000)

---

b.
DFT (PBE) results for a geometry-optimized KCCl3 structure.

Properties
Symmetry: Pm-3m (221)
ρ in g/cm3: 2.56

Lattice parameters (Å, degrees): 4.676 4.676 4.676 90.00 90.00 90.00
Fractional coordinates of all 5 atoms:
K (0.000, 0.000, 0.000)
C (0.500, 0.500, 0.500)
Cl (0.000, 0.500, 0.500)
Cl (0.500, 0.000, 0.500)
Cl (0.500, 0.500, 0.000)

---

Energies relative to the minimum, meV/atom: a 1324; b 0